## A
AlCoCu after structural relaxation, computed with GGA-PBE.

Structure (POSCAR):
```
AlCoCu
1.0
0.000 2.776 2.776
2.776 0.000 2.776
2.776 2.776 0.000
Al Co Cu
1 1 1
direct
0.000 0.000 0.000
0.250 0.250 0.250
0.500 0.500 0.500
```

* size of the total moment: 0.0 μB per formula unit

=====

## B
AlCoCu after structural relaxation, computed with GGA-PBE.

Structure (POSCAR):
```
AlCoCu
1.0
1.414 -6.225 0.000
1.414 6.225 0.000
0.000 0.000 4.044
Al Co Cu
2 2 2
direct
0.080 0.920 0.750
0.920 0.080 0.250
0.418 0.582 0.750
0.582 0.418 0.250
0.252 0.748 0.250
0.748 0.252 0.750
```

* size of the total moment: 0.0 μB per formula unit

=====

Which one is most stable, and which one is least stable? B is the most stable of them, while A is the least stable.

=====

## A
Al2CoCu2 after structural relaxation, computed with GGA-PBE.

Structure (POSCAR):
```
Al2CoCu2
1.0
1.367 -8.659 0.000
1.367 8.659 0.000
0.000 0.000 2.730
Al Co Cu
2 1 2
direct
0.088 0.912 0.000
0.912 0.088 0.000
0.500 0.500 0.500
0.312 0.688 0.500
0.688 0.312 0.500
```

* size of the total moment: 0.0 μB per formula unit

=====

## B
Al2CoCu2 after structural relaxation, computed with GGA-PBE.

Structure (POSCAR):
```
Al2CoCu2
1.0
6.817 0.000 0.000
0.000 6.817 0.000
0.000 0.000 2.800
Al Co Cu
4 2 4
direct
0.175 0.325 0.000
0.325 0.825 0.000
0.675 0.175 0.000
0.825 0.675 0.000
0.000 0.000 0.500
0.500 0.500 0.500
0.126 0.626 0.500
0.374 0.126 0.500
0.626 0.874 0.500
0.874 0.374 0.500
```

* size of the total moment: 0.4 μB per formula unit

=====

Which one is most stable, and which one is least stable? A is the most stable of them, while B is the least stable.

=====

## A
Dy2AlCo3 after structural relaxation, computed with GGA-PBE.

Structure (POSCAR):
```
Dy2AlCo3
1.0
5.283 0.000 0.000
-2.641 4.575 0.000
0.000 0.000 7.925
Dy Al Co
4 2 6
direct
0.333 0.667 0.063
0.333 0.667 0.437
0.667 0.333 0.563
0.667 0.333 0.937
0.000 0.000 0.000
0.000 0.000 0.500
0.173 0.346 0.750
0.173 0.827 0.750
0.346 0.173 0.250
0.654 0.827 0.750
0.827 0.173 0.250
0.827 0.654 0.250
```

* size of the total moment: 1.0 μB per formula unit

=====

## B
Dy2AlCo3 after structural relaxation, computed with GGA-PBE.

Structure (POSCAR):
```
Dy2AlCo3
1.0
2.667 1.540 3.887
-2.667 1.540 3.887
0.000 -3.079 3.887
Dy Al Co
2 1 3
direct
0.129 0.129 0.129
0.871 0.871 0.871
0.500 0.500 0.500
0.000 0.500 0.500
0.500 0.000 0.500
0.500 0.500 0.000
```

* size of the total moment: 0.0 μB per formula unit

=====

Which one is most stable, and which one is least stable? A is the most stable of them, while B is the least stable.

=====

## A
DyAl3Co after structural relaxation, computed with GGA-PBE.

Structure (POSCAR):
```
DyAl3Co
1.0
4.505 0.000 0.000
0.000 4.505 0.000
0.000 0.000 4.505
Dy Al Co
1 3 1
direct
0.000 0.000 0.000
0.000 0.500 0.500
0.500 0.000 0.500
0.500 0.500 0.000
0.500 0.500 0.500
```

* size of the total moment: 0.0 μB per formula unit

=====

## B
DyAl3Co after structural relaxation, computed with GGA-PBE.

Structure (POSCAR):
```
DyAl3Co
1.0
8.170 0.000 0.000
0.000 4.024 0.000
0.000 0.000 10.652
Dy Al Co
4 12 4
direct
0.191 0.250 0.009
0.309 0.750 0.509
0.691 0.250 0.491
0.809 0.750 0.991
0.050 0.250 0.582
0.108 0.750 0.780
0.150 0.750 0.225
0.350 0.250 0.725
0.392 0.250 0.280
0.450 0.750 0.082
0.550 0.250 0.918
0.608 0.750 0.720
0.650 0.750 0.275
0.850 0.250 0.775
0.892 0.250 0.220
0.950 0.750 0.418
0.118 0.250 0.357
0.382 0.750 0.857
0.618 0.250 0.143
0.882 0.750 0.643
```

* size of the total moment: 0.0 μB per formula unit

=====

Which one is most stable, and which one is least stable? B is the most stable of them, while A is the least stable.

=====

## A
Er4AlCo after structural relaxation, computed with GGA-PBE.

Structure (POSCAR):
```
Er4AlCo
1.0
4.261 -6.275 0.000
4.261 6.275 0.000
-1.751 0.000 5.603
Er Al Co
8 2 2
direct
0.057 0.725 0.954
0.210 0.367 0.609
0.275 0.943 0.546
0.367 0.210 0.109
0.633 0.790 0.891
0.725 0.057 0.454
0.790 0.633 0.391
0.943 0.275 0.046
0.376 0.624 0.250
0.624 0.376 0.750
0.001 0.999 0.750
0.999 0.001 0.250
```

* size of the total moment: 0.0 μB per formula unit

=====

## B
Er4AlCo after structural relaxation, computed with GGA-PBE.

Structure (POSCAR):
```
Er4AlCo
1.0
0.000 6.588 6.588
6.588 0.000 6.588
6.588 6.588 0.000
Er Al Co
16 4 4
direct
0.188 0.188 0.812
0.188 0.812 0.188
0.188 0.812 0.812
0.401 0.401 0.401
0.401 0.401 0.798
0.401 0.798 0.401
0.558 0.558 0.942
0.558 0.942 0.558
0.558 0.942 0.942
0.798 0.401 0.401
0.812 0.188 0.188
0.812 0.188 0.812
0.812 0.812 0.188
0.942 0.558 0.558
0.942 0.558 0.942
0.942 0.942 0.558
0.172 0.172 0.172
0.172 0.172 0.483
0.172 0.483 0.172
0.483 0.172 0.172
0.172 0.609 0.609
0.609 0.172 0.609
0.609 0.609 0.172
0.609 0.609 0.609
```

* size of the total moment: 0.0 μB per formula unit

=====

Which one is most stable, and which one is least stable? B is the most stable of them, while A is the least stable.